## NbP2HS (PBE)

Data for an optimized crystal structure of NbP2HS.

```
data_NbP2HS
_chemical_formula_sum 'Nb1 P2 H1 S1'
_symmetry_space_group_name_H-M 'P 1'
_symmetry_Int_Tables_number 1
_cell_length_a 4.855
_cell_length_b 4.855
_cell_length_c 4.785
_cell_angle_alpha 90.00
_cell_angle_beta 90.00
_cell_angle_gamma 90.00
loop_
_symmetry_equiv_pos_as_xyz
'x,y,z'
loop_
_atom_site_label
_atom_site_type_symbol
_atom_site_fract_x
_atom_site_fract_y
_atom_site_fract_z
P1 P 0.000 0.500 0.000
P2 P 0.500 0.000 0.000
S1 S 0.000 0.000 0.500
Nb1 Nb 0.000 0.000 0.000
H1 H 0.500 0.500 0.500
```

Summary:
Magnetic moment in μB/f.u.: 0.6

***

## NbP2HS (PBE)

Data for an optimized crystal structure of NbP2HS.

```
data_NbP2HS
_chemical_formula_sum 'Nb1 P2 H1 S1'
_symmetry_space_group_name_H-M 'P 1'
_symmetry_Int_Tables_number 1
_cell_length_a 3.636
_cell_length_b 3.636
_cell_length_c 4.922
_cell_angle_alpha 90.00
_cell_angle_beta 90.00
_cell_angle_gamma 90.00
loop_
_symmetry_equiv_pos_as_xyz
'x,y,z'
loop_
_atom_site_label
_atom_site_type_symbol
_atom_site_fract_x
_atom_site_fract_y
_atom_site_fract_z
H1 H 0.000 0.000 0.000
S1 S 0.000 0.000 0.500
Nb1 Nb 0.500 0.500 0.500
P1 P 0.500 0.000 0.000
P2 P 0.000 0.500 0.000
```

Summary:
Magnetic moment in μB/f.u.: 0.0

***

Number 1: E -5.0058 eV/atom. Number 2: E -5.3260 eV/atom.